The following is a PBE calculation of a geometry-optimized GdZnB4 structure, from OQMD via LeMat-Bulk.

Cell lengths 5.038, 5.038, 5.038 Å; angles 143.11, 116.96, 75.34 degrees
Fractional positions:
B 0.084 0.761 0.323
Zn 0.000 0.000 0.000
B 0.437 0.761 0.677
B 0.563 0.239 0.323
Gd 0.500 0.500 0.000
B 0.916 0.239 0.677

Properties
Energy relative to the lowest polymorph listed for this composition: 0.0000 eV per atom
Total magnetization: 0.0 Bohr magnetons per cell
E: -5.553 eV per atom